# 1
VASP calculation (PBE-GGA) on a relaxed TbNdIr crystal.

```
data_TbNdIr
_space_group_name_H-M_alt 'P 1'
_space_group_IT_number 1
_cell_length_a 7.524
_cell_length_b 9.404
_cell_length_c 8.857
_cell_angle_alpha 122.04
_cell_angle_beta 115.13
_cell_angle_gamma 90.00
loop_
_space_group_symop_operation_xyz
'x,y,z'
loop_
_atom_site_label
_atom_site_fract_x
_atom_site_fract_y
_atom_site_fract_z
Tb1 0.015 0.000 0.000
Tb2 0.015 0.500 0.000
Tb3 0.492 0.369 0.738
Tb4 0.753 0.631 0.262
Tb5 0.753 0.131 0.262
Tb6 0.492 0.869 0.738
Nd1 0.752 0.046 0.591
Nd2 0.161 0.954 0.409
Nd3 0.345 0.750 0.000
Nd4 0.345 0.250 0.000
Nd5 0.161 0.454 0.409
Nd6 0.753 0.546 0.591
Ir1 0.753 0.250 0.000
Ir2 0.753 0.750 0.000
Ir3 0.420 0.167 0.333
Ir4 0.087 0.833 0.667
Ir5 0.087 0.333 0.667
Ir6 0.420 0.667 0.333
```

Computed properties:
Total DFT energy (no corrections)   -6.683 eV/atom
ΔE to the lowest computed polymorph   0.000 eV per atom
Calculated formation energy   -1.79 eV/f.u.

---

# 2
VASP calculation (PBE-GGA) on a relaxed Ac5Sm4Mg crystal.

```
data_Ac5Sm4Mg
_space_group_name_H-M_alt 'P 1'
_space_group_IT_number 1
_cell_length_a 3.907
_cell_length_b 3.907
_cell_length_c 25.143
_cell_angle_alpha 90.00
_cell_angle_beta 90.00
_cell_angle_gamma 90.00
loop_
_space_group_symop_operation_xyz
'x,y,z'
loop_
_atom_site_label
_atom_site_fract_x
_atom_site_fract_y
_atom_site_fract_z
Ac1 0.500 0.500 0.089
Ac2 0.500 0.500 0.295
Ac3 0.500 0.500 0.500
Ac4 0.500 0.500 0.705
Ac5 0.500 0.500 0.911
Sm1 0.000 0.000 0.192
Sm2 0.000 0.000 0.397
Sm3 0.000 0.000 0.603
Sm4 0.000 0.000 0.808
Mg1 0.000 0.000 0.000
```

Computed properties:
Total DFT energy (no corrections)   -4.084 eV/atom
Calculated formation energy   0.17 eV/f.u.

---

# 3
VASP calculation (PBE-GGA) on a relaxed Ag3Bi2Pd4 crystal.

```
data_Ag3Bi2Pd4
_space_group_name_H-M_alt 'P 1'
_space_group_IT_number 1
_cell_length_a 4.698
_cell_length_b 4.703
_cell_length_c 8.778
_cell_angle_alpha 89.95
_cell_angle_beta 90.04
_cell_angle_gamma 60.02
loop_
_space_group_symop_operation_xyz
'x,y,z'
loop_
_atom_site_label
_atom_site_fract_x
_atom_site_fract_y
_atom_site_fract_z
Ag1 0.333 0.333 0.444
Ag2 0.000 0.000 0.000
Ag3 0.667 0.667 0.556
Bi1 0.333 0.333 0.784
Bi2 0.667 0.667 0.216
Pd1 0.667 0.667 0.889
Pd2 0.000 0.000 0.336
Pd3 0.000 0.000 0.664
Pd4 0.333 0.333 0.111
```

Computed properties:
Total DFT energy (no corrections)   -4.266 eV/atom
Calculated formation energy   -1.31 eV/f.u.

---

# 4
VASP calculation (PBE-GGA) on a relaxed GaFeReMo crystal.

```
data_GaFeReMo
_space_group_name_H-M_alt 'P 1'
_space_group_IT_number 1
_cell_length_a 4.295
_cell_length_b 4.295
_cell_length_c 4.295
_cell_angle_alpha 60.00
_cell_angle_beta 60.00
_cell_angle_gamma 60.00
loop_
_space_group_symop_operation_xyz
'x,y,z'
loop_
_atom_site_label
_atom_site_fract_x
_atom_site_fract_y
_atom_site_fract_z
Re1 0.250 0.250 0.250
Mo1 0.500 0.500 0.500
Fe1 0.750 0.750 0.750
Ga1 0.000 0.000 0.000
```

Computed properties:
Total DFT energy (no corrections)   -8.618 eV/atom
Calculated formation energy   0.30 eV/f.u.

---

# 5
VASP calculation (PBE-GGA) on a relaxed HoEr3Sb4 crystal.

```
data_HoEr3Sb4
_space_group_name_H-M_alt 'P 1'
_space_group_IT_number 1
_cell_length_a 6.155
_cell_length_b 6.155
_cell_length_c 6.155
_cell_angle_alpha 90.00
_cell_angle_beta 90.00
_cell_angle_gamma 90.00
loop_
_space_group_symop_operation_xyz
'x,y,z'
loop_
_atom_site_label
_atom_site_fract_x
_atom_site_fract_y
_atom_site_fract_z
Ho1 0.000 0.000 0.000
Er1 0.000 0.500 0.500
Er2 0.500 0.000 0.500
Er3 0.500 0.500 0.000
Sb1 0.500 0.000 0.000
Sb2 0.000 0.500 0.000
Sb3 0.000 0.000 0.500
Sb4 0.500 0.500 0.500
```

Computed properties:
Total DFT energy (no corrections)   -5.449 eV/atom
ΔE_f (raw)   -1.1044 eV/atom

---

# 6
VASP calculation (PBE-GGA) on a relaxed BaLi2Dy crystal.

```
data_BaLi2Dy
_space_group_name_H-M_alt 'P 1'
_space_group_IT_number 1
_cell_length_a 3.980
_cell_length_b 3.980
_cell_length_c 8.262
_cell_angle_alpha 90.00
_cell_angle_beta 90.00
_cell_angle_gamma 90.00
loop_
_space_group_symop_operation_xyz
'x,y,z'
loop_
_atom_site_label
_atom_site_fract_x
_atom_site_fract_y
_atom_site_fract_z
Li1 0.000 0.000 0.794
Li2 0.000 0.000 0.206
Ba1 0.500 0.500 0.500
Dy1 0.500 0.500 0.000
```

Computed properties:
Total DFT energy (no corrections)   -2.415 eV/atom
Calculated formation energy   0.69 eV/f.u.